PBE ReH3Rh, optimized geometry; magnetization = 0.0 μB/f.u.; E_tot = -5.427 eV/atom
1.0
3.3828 0.0000 0.0000
0.0000 3.3828 0.0000
0.0000 0.0000 3.3828
Re H Rh
1 3 1
direct
0.0000 0.0000 0.0000
0.0000 0.5000 0.5000
0.5000 0.0000 0.5000
0.5000 0.5000 0.0000
0.5000 0.5000 0.5000